Record 1
# Al2InHgI6 (PBE, optimized geometry)
# * formation energy (no corrections): -38.41 kJ per mole of atoms
# * crystal system: monoclinic
# * D(E_F): 0.24 states/eV per atom
data_Al2InHgI6
_space_group_name_H-M_alt 'P 1'
_space_group_IT_number 1
_cell_length_a 11.758
_cell_length_b 11.758
_cell_length_c 8.941
_cell_angle_alpha 110.58
_cell_angle_beta 110.58
_cell_angle_gamma 80.24
loop_
_space_group_symop_operation_xyz
'x,y,z'
loop_
_atom_site_label
_atom_site_type_symbol
_atom_site_fract_x
_atom_site_fract_y
_atom_site_fract_z
_atom_site_occupancy
Al1 Al 0.104 0.318 0.207 1
Al2 Al 0.318 0.104 0.707 1
Al3 Al 0.682 0.896 0.293 1
Al4 Al 0.896 0.682 0.793 1
In1 In 0.005 0.995 0.250 1
In2 In 0.995 0.005 0.750 1
Hg1 Hg 0.453 0.547 0.750 1
Hg2 Hg 0.547 0.453 0.250 1
I1 I 0.097 0.547 0.310 1
I2 I 0.111 0.773 0.935 1
I3 I 0.223 0.225 0.471 1
I4 I 0.225 0.223 0.971 1
I5 I 0.227 0.889 0.565 1
I6 I 0.453 0.903 0.190 1
I7 I 0.547 0.097 0.810 1
I8 I 0.773 0.111 0.435 1
I9 I 0.775 0.777 0.029 1
I10 I 0.777 0.775 0.529 1
I11 I 0.889 0.227 0.065 1
I12 I 0.903 0.453 0.690 1



Record 2
# ZnIrOF2 (PBE, optimized geometry)
# * formation energy (no corrections): -56.01 kJ per mole of atoms
# * crystal system: tetragonal
# * D(E_F): 0.72 states/eV per atom
# * ΔE to the lowest computed polymorph: 0.000 eV/atom
data_ZnIrOF2
_space_group_name_H-M_alt 'P 1'
_space_group_IT_number 1
_cell_length_a 4.413
_cell_length_b 4.413
_cell_length_c 3.726
_cell_angle_alpha 90.00
_cell_angle_beta 90.00
_cell_angle_gamma 90.00
loop_
_space_group_symop_operation_xyz
'x,y,z'
loop_
_atom_site_label
_atom_site_type_symbol
_atom_site_fract_x
_atom_site_fract_y
_atom_site_fract_z
_atom_site_occupancy
Zn1 Zn 0.000 0.000 0.000 1
Ir1 Ir 0.500 0.500 0.500 1
O1 O 0.500 0.500 0.000 1
F1 F 0.000 0.500 0.500 1
F2 F 0.500 0.000 0.500 1



Record 3
# LiHoBi2 (PBE, optimized geometry)
# * crystal system: tetragonal
# * D(E_F): 0.45 states/eV per atom
# * ΔE to the lowest computed polymorph: 0.076 eV/atom
# * calculated formation energy: -507.7 meV/atom
data_LiHoBi2
_space_group_name_H-M_alt 'P 1'
_space_group_IT_number 1
_cell_length_a 5.043
_cell_length_b 5.043
_cell_length_c 4.211
_cell_angle_alpha 90.00
_cell_angle_beta 90.00
_cell_angle_gamma 90.00
loop_
_space_group_symop_operation_xyz
'x,y,z'
loop_
_atom_site_label
_atom_site_type_symbol
_atom_site_fract_x
_atom_site_fract_y
_atom_site_fract_z
_atom_site_occupancy
Li1 Li 0.000 0.000 0.000 1
Ho1 Ho 0.500 0.500 0.000 1
Bi1 Bi 0.000 0.500 0.500 1
Bi2 Bi 0.500 0.000 0.500 1



Record 4
# CaAg4Au (PBE, optimized geometry)
# * crystal system: cubic
# * D(E_F): 0.48 states/eV per atom
# * ΔE to the lowest computed polymorph: 0.000 eV/atom
# * calculated formation energy: -204.0 meV/atom
data_CaAg4Au
_space_group_name_H-M_alt 'P 1'
_space_group_IT_number 1
_cell_length_a 5.568
_cell_length_b 5.568
_cell_length_c 5.568
_cell_angle_alpha 60.00
_cell_angle_beta 60.00
_cell_angle_gamma 60.00
loop_
_space_group_symop_operation_xyz
'x,y,z'
loop_
_atom_site_label
_atom_site_type_symbol
_atom_site_fract_x
_atom_site_fract_y
_atom_site_fract_z
_atom_site_occupancy
Ca1 Ca 0.000 0.000 0.000 1
Ag1 Ag 0.126 0.625 0.625 1
Ag2 Ag 0.625 0.126 0.625 1
Ag3 Ag 0.625 0.625 0.126 1
Ag4 Ag 0.625 0.625 0.625 1
Au1 Au 0.250 0.250 0.250 1



Record 5
# DyY6Tm4 (PBE, optimized geometry)
# * crystal system: hexagonal
# * D(E_F): 1.52 states/eV per atom
# * ΔE to the lowest computed polymorph: 0.000 eV/atom
# * calculated formation energy: 160.9 meV/atom
data_DyY6Tm4
_space_group_name_H-M_alt 'P 1'
_space_group_IT_number 1
_cell_length_a 10.843
_cell_length_b 10.843
_cell_length_c 3.530
_cell_angle_alpha 90.00
_cell_angle_beta 90.00
_cell_angle_gamma 120.00
loop_
_space_group_symop_operation_xyz
'x,y,z'
loop_
_atom_site_label
_atom_site_type_symbol
_atom_site_fract_x
_atom_site_fract_y
_atom_site_fract_z
_atom_site_occupancy
Dy1 Dy 0.000 0.000 0.000 1
Y1 Y 0.183 0.366 0.500 1
Y2 Y 0.183 0.817 0.500 1
Y3 Y 0.521 0.042 0.000 1
Y4 Y 0.521 0.479 0.000 1
Y5 Y 0.634 0.817 0.500 1
Y6 Y 0.958 0.479 0.000 1
Tm1 Tm 0.319 0.160 0.500 1
Tm2 Tm 0.333 0.667 0.000 1
Tm3 Tm 0.840 0.160 0.500 1
Tm4 Tm 0.840 0.681 0.500 1



Record 6
# ZnRu2Se (PBE, optimized geometry)
# * formation energy (no corrections): 14.99 kJ per mole of atoms
# * crystal system: cubic
# * D(E_F): 0.34 states/eV per atom
# * ΔE to the lowest computed polymorph: 0.065 eV/atom
data_ZnRu2Se
_space_group_name_H-M_alt 'P 1'
_space_group_IT_number 1
_cell_length_a 4.317
_cell_length_b 4.317
_cell_length_c 4.317
_cell_angle_alpha 60.00
_cell_angle_beta 60.00
_cell_angle_gamma 60.00
loop_
_space_group_symop_operation_xyz
'x,y,z'
loop_
_atom_site_label
_atom_site_type_symbol
_atom_site_fract_x
_atom_site_fract_y
_atom_site_fract_z
_atom_site_occupancy
Zn1 Zn 0.000 0.000 0.000 1
Ru1 Ru 0.250 0.250 0.250 1
Ru2 Ru 0.750 0.750 0.750 1
Se1 Se 0.500 0.500 0.500 1